CaSmAl2Zn2: optimized geometry, PBE.

Structure (POSCAR):
```
CaSmAl2Zn2
1.0
4.5819 0.0000 0.0000
-2.2909 3.9680 0.0000
0.0000 0.0000 7.3131
Ca Sm Al Zn
1 1 2 2
Direct
0.0000 0.0000 0.0000
0.0000 0.0000 0.5000
0.3333 0.6667 0.7274
0.6667 0.3333 0.2726
0.3333 0.6667 0.2720
0.6667 0.3333 0.7280
```

Results
formation energy	-36.0	kJ per mole of atoms
total DFT energy (no corrections)	-3.165	eV per atom
magnetic moment	0.0	μB/f.u.

CaSmAlZn: optimized geometry, PBE.

Structure (POSCAR):
```
CaSmAlZn
1.0
3.6208 0.0000 0.0000
0.0000 3.6208 0.0000
0.0000 0.0000 7.6182
Ca Sm Al Zn
1 1 1 1
Direct
0.0000 0.0000 0.0000
0.0000 0.0000 0.5078
0.5000 0.5000 0.2584
0.5000 0.5000 0.7524
```

Results
formation energy	-27.4	kJ per mole of atoms
total DFT energy (no corrections)	-3.219	eV per atom
magnetic moment	0.0	μB/f.u.
excess energy over the best structure of this formula in the dataset	0.0123	eV per atom